1.
First-principles (PBE) data for an optimized crystal structure of TaMn2Hg, as listed in the Alexandria database.

Unit cell a=4.525 b=4.525 c=4.525 alpha=60.00 beta=60.00 gamma=60.00
Fractional positions:
Ta 0.000 0.000 0.000
Mn 0.250 0.250 0.250
Mn 0.500 0.500 0.500
Hg 0.750 0.750 0.750

Results
- formation energy from the elements (meV per atom) = 491
- space group = F-43m (216)
- E (eV/atom) = -7.133
- volume (Å³/atom) = 16.38

***

2.
First-principles (PBE) data for an optimized crystal structure of CsAlV3, as listed in the Alexandria database.

Unit cell a=4.728 b=4.728 c=4.728 alpha=90.00 beta=90.00 gamma=90.00
Fractional positions:
Cs 0.000 0.000 0.000
Al 0.500 0.500 0.500
V 0.000 0.000 0.500
V 0.000 0.500 0.000
V 0.500 0.000 0.000

Results
- formation energy from the elements (meV per atom) = 2467
- space group = Pm-3m (221)
- E (eV/atom) = -3.923
- volume (Å³/atom) = 21.14

***

What did the first record say?
First-principles (PBE) data for an optimized crystal structure of TaMn2Hg, as listed in the Alexandria database.

Unit cell a=4.525 b=4.525 c=4.525 alpha=60.00 beta=60.00 gamma=60.00
Fractional positions:
Ta 0.000 0.000 0.000
Mn 0.250 0.250 0.250
Mn 0.500 0.500 0.500
Hg 0.750 0.750 0.750

Results
- formation energy from the elements (meV per atom) = 491
- space group = F-43m (216)
- E (eV/atom) = -7.133
- volume (Å³/atom) = 16.38

***

- Among the records above, which one has the highest formation energy from the elements?
  CsAlV3